The following is a DFT calculation (PBE-GGA) of an optimized crystal structure of Tl5CdSnHg2.

POSCAR file:
```
Tl5CdSnHg2
1.0
2.3917 -9.6069 0.0000
2.3917 9.6069 0.0000
0.0000 0.0000 11.8363
Tl Cd Sn Hg
10 2 2 4
Cartesian
2.3917 9.1163 5.9182 Tl
2.3917 6.0535 8.1700 Tl
2.3917 5.8302 0.7670 Tl
2.3917 4.9567 4.3963 Tl
2.3917 1.0815 3.0108 Tl
2.3917 -1.0815 8.9290 Tl
2.3917 -4.9567 10.3145 Tl
2.3917 -5.8302 6.6852 Tl
2.3917 -6.0535 2.2518 Tl
2.3917 -9.1163 0.0000 Tl
2.3917 2.8484 8.9308 Cd
2.3917 -2.8484 3.0127 Cd
2.3917 8.5386 2.8225 Sn
2.3917 -8.5386 8.7407 Sn
2.3917 2.6419 0.0627 Hg
2.3917 1.7114 6.0403 Hg
2.3917 -1.7114 0.1222 Hg
2.3917 -2.6419 5.9808 Hg
```

## Properties
Energy of formation: 28 meV per atom
Spin magnetization: 0.00 Bohr magnetons per cell
SG: Cmc2_1


The following is a DFT calculation (PBE-GGA) of an optimized crystal structure of Tl2CdSnHg2.

POSCAR file:
```
Tl2CdSnHg2
1.0
-3.0849 8.5139 3.2651
3.0849 -8.5139 3.2651
3.0849 8.5139 -3.2651
Tl Cd Sn Hg
4 2 2 4
Cartesian
1.4254 2.9912 0.0000 Tl
1.4254 -2.9912 3.2651 Tl
1.6595 11.5052 0.0000 Tl
1.6595 5.5227 3.2651 Tl
3.0849 0.0000 1.6325 Cd
0.0000 8.5139 1.6325 Cd
0.0000 0.0000 1.6325 Sn
0.0000 0.0000 4.8976 Sn
4.5099 2.2956 0.0000 Hg
1.4250 6.2183 0.0000 Hg
1.6599 2.2956 3.2651 Hg
-1.4250 6.2183 3.2651 Hg
```

## Properties
Energy of formation: 21 meV per atom
Spin magnetization: 0.00 Bohr magnetons per cell
SG: Ibam


The following is a DFT calculation (PBE-GGA) of an optimized crystal structure of Tl3Cd2Sn2Hg4.

POSCAR file:
```
Tl3Cd2Sn2Hg4
1.0
5.0708 0.0000 0.0000
-2.5354 4.3914 0.0000
0.0000 0.0000 14.2630
Tl Cd Sn Hg
3 2 2 4
Cartesian
0.0000 0.0000 0.0000 Tl
0.0000 0.0000 3.6846 Tl
0.0000 0.0000 10.5784 Tl
0.0000 2.9276 1.4888 Cd
2.5354 1.4638 12.7743 Cd
0.0000 2.9276 8.7769 Sn
2.5354 1.4638 5.4861 Sn
0.0000 2.9276 5.6682 Hg
0.0000 2.9276 12.1786 Hg
2.5354 1.4638 2.0844 Hg
2.5354 1.4638 8.5949 Hg
```

## Properties
Energy of formation: 51 meV per atom
Spin magnetization: 0.00 Bohr magnetons per cell
SG: P-3m1